Entry 1:
# LiHoCdIr, optimized geometry, DFT PBE
data_LiHoCdIr
_symmetry_space_group_name_H-M 'F -4 3 m'
_symmetry_Int_Tables_number 216
_symmetry_space_group_name_Hall 'F -4 2 3'
_cell_length_a 6.7210
_cell_length_b 6.7210
_cell_length_c 6.7210
_cell_angle_alpha 90.00
_cell_angle_beta 90.00
_cell_angle_gamma 90.00
loop_
_atom_site_label
_atom_site_type_symbol
_atom_site_fract_x
_atom_site_fract_y
_atom_site_fract_z
Li1 Li 0.0000 0.0000 0.0000
Ho1 Ho 0.2500 0.2500 0.2500
Cd1 Cd 0.2500 0.2500 0.7500
Ir1 Ir 0.0000 0.0000 0.5000
# **Final energy**: -4.479 eV per atom

Entry 2:
# AcSbRu2N, optimized geometry, DFT PBE
data_AcSbRu2N
_symmetry_space_group_name_H-M 'C m c m'
_symmetry_Int_Tables_number 63
_symmetry_space_group_name_Hall '-C 2c 2'
_cell_length_a 4.1936
_cell_length_b 11.9918
_cell_length_c 7.5708
_cell_angle_alpha 90.00
_cell_angle_beta 90.00
_cell_angle_gamma 90.00
loop_
_atom_site_label
_atom_site_type_symbol
_atom_site_fract_x
_atom_site_fract_y
_atom_site_fract_z
Ac1 Ac 0.0000 0.0506 0.2500
Sb1 Sb 0.0000 0.2271 0.7500
Ru1 Ru 0.0000 0.3471 0.0511
N1 N 0.0000 0.5000 0.0000
# **Formation energy (no corrections)**: -2.56 eV/f.u.

Entry 3:
# ScSiGeC2, optimized geometry, DFT PBE
data_ScSiGeC2
_symmetry_space_group_name_H-M 'P 4/m m m'
_symmetry_Int_Tables_number 123
_symmetry_space_group_name_Hall '-P 4 2'
_cell_length_a 3.9347
_cell_length_b 3.9347
_cell_length_c 5.3069
_cell_angle_alpha 90.00
_cell_angle_beta 90.00
_cell_angle_gamma 90.00
loop_
_atom_site_label
_atom_site_type_symbol
_atom_site_fract_x
_atom_site_fract_y
_atom_site_fract_z
Sc1 Sc 0.0000 0.0000 0.0000
Si1 Si 0.5000 0.5000 0.0000
Ge1 Ge 0.0000 0.0000 0.5000
C1 C 0.0000 0.5000 0.5000
# **Formation energy (no corrections)**: 8.62 eV/f.u.